# GGA-PBE Hf4Pb, optimized geometry
data_Hf4Pb
_cell_length_a 4.9261
_cell_length_b 6.1154
_cell_length_c 14.8545
_cell_angle_alpha 90.00
_cell_angle_beta 90.00
_cell_angle_gamma 90.00
_symmetry_space_group_name_H-M 'I m m a'
_symmetry_Int_Tables_number 74
_symmetry_space_group_name_Hall '-I 2b 2'
loop_
_atom_site_label
_atom_site_fract_x
_atom_site_fract_y
_atom_site_fract_z
Hf1 0.0000 0.0000 0.0000
Hf2 0.0000 0.0080 0.1973
Hf3 0.0000 0.2500 0.3955
Pb1 0.0000 0.2500 0.6079
# **Energy of formation**: 96 meV per atom
# **Total moment**: 0.0 Bohr magnetons per cell
# **Uncorrected energy**: -8.61 eV/atom